A relaxed Pm3TlSi crystal. Source: the Alexandria database, functional PBE.

abc: 4.6951 7.1926 9.0675
angles: 90.00 90.00 90.00
Closest atoms and distances in Å follow each position.
Fractional positions:
Pm 0.2500 0.0043 0.1671  3 Si 3.03-3.04, 2 Tl 3.33
Pm 0.2500 0.2500 0.5712  1 Si 2.93, 2 Tl 3.14
Pm 0.2500 0.4957 0.1671  3 Si 3.03-3.04, 2 Tl 3.33
Pm 0.7500 0.5043 0.8329  3 Si 3.03-3.04, 2 Tl 3.33
Pm 0.7500 0.7500 0.4288  1 Si 2.93, 2 Tl 3.14
Pm 0.7500 0.9957 0.8329  3 Si 3.03-3.04, 2 Tl 3.33
Tl 0.2500 0.7500 0.6593  6 Pm 3.14-3.33
Tl 0.7500 0.2500 0.3407  6 Pm 3.14-3.33
Si 0.2500 0.2500 0.8939  7 Pm 2.93-3.04
Si 0.7500 0.7500 0.1061  7 Pm 2.93-3.04

Output
calculated density	7.24	g/cm³
energy relative to the lowest polymorph listed for this composition	0.0	kJ per mole of atoms
formation energy from raw total energies	-419.0	meV per atom
SG	Pmmn

A relaxed Pm6Tl3Si crystal. Source: the Alexandria database, functional PBE.

abc: 11.7278 3.9296 13.9895
angles: 90.00 106.49 90.00
Closest atoms and distances in Å follow each position.
Fractional positions:
Pm 0.0009 0.2500 0.3339  4 Tl 3.13-3.38
Pm 0.1030 0.2500 0.9101  4 Tl 3.19-3.25
Pm 0.2575 0.7500 0.3307  2 Si 3.06, 3 Tl 3.19-3.30, 1 Pm 3.20
Pm 0.3357 0.7500 0.7651  1 Si 3.04, 2 Tl 3.30
Pm 0.3735 0.7500 0.1492  2 Si 3.04, 1 Pm 3.20, 2 Tl 3.32
Pm 0.3938 0.2500 0.5492  2 Si 2.92
Pm 0.6062 0.7500 0.4508  2 Si 2.92
Pm 0.6265 0.2500 0.8508  2 Si 3.04, 1 Pm 3.20, 2 Tl 3.32
Pm 0.6643 0.2500 0.2349  1 Si 3.04, 2 Tl 3.30
Pm 0.7425 0.2500 0.6693  2 Si 3.06, 3 Tl 3.19-3.30, 1 Pm 3.20
Pm 0.8970 0.7500 0.0899  4 Tl 3.19-3.25
Pm 0.9991 0.7500 0.6661  4 Tl 3.13-3.38
Tl 0.1239 0.2500 0.1425  8 Pm 3.19-3.50
Tl 0.1588 0.7500 0.5212  7 Pm 3.13-3.45
Tl 0.3912 0.2500 0.9626  2 Tl 3.16, 5 Pm 3.25-3.32
Tl 0.6088 0.7500 0.0374  2 Tl 3.16, 5 Pm 3.25-3.32
Tl 0.8412 0.2500 0.4788  7 Pm 3.13-3.45
Tl 0.8761 0.7500 0.8575  8 Pm 3.19-3.50
Si 0.4538 0.2500 0.3213  7 Pm 2.92-3.06
Si 0.5462 0.7500 0.6787  7 Pm 2.92-3.06

Output
calculated density	8.12	g/cm³
formation energy from raw total energies	-283.7	meV per atom
SG	P2_1/m